A geometry-optimized Ag2HgPd4Pb2 structure, computed with PBE.

Summary:
- E_tot: -3.69 eV/atom
- Crystal system: tetragonal
- SG: No. 139
- V: 21.39 A^3/atom
- M_tot: 0.0 μB per cell
- D(E_F): 7.00 states/eV/cell

abc: 6.4813 6.4813 6.4813
angles: 89.98 120.01 120.01
Closest atoms and distances in Å follow each position.
Element x y z (fractional)
1 Ag 0.0000 0.7112 0.7112  1 Hg 2.65, 4 Pd 2.75
2 Ag 0.0000 0.2888 0.2888  1 Hg 2.65, 4 Pd 2.75
3 Hg 0.0000 0.0000 0.0000  4 Pd 2.63, 2 Ag 2.65
4 Pd 0.0000 0.7133 0.2867  1 Hg 2.63, 2 Ag 2.75, 2 Pd 2.76
5 Pd 0.4266 0.7133 0.7133  1 Hg 2.63, 2 Ag 2.75, 2 Pd 2.76
6 Pd 0.0000 0.2867 0.7133  1 Hg 2.63, 2 Ag 2.75, 2 Pd 2.76
7 Pd 0.5734 0.2867 0.2867  1 Hg 2.63, 2 Ag 2.75, 2 Pd 2.76
8 Pb 0.5000 0.7500 0.2500  8 Pd 3.26, 4 Ag 3.26
9 Pb 0.5000 0.2500 0.7500  8 Pd 3.26, 4 Ag 3.26

---

A geometry-optimized TlSb2Pt structure, computed with PBE.

Summary:
- Crystal system: tetragonal
- Relative energy among the computed polymorphs: 483 meV per atom
- SG: No. 139
- V: 23.67 A^3/atom
- M_tot: 0.0 μB per cell
- D(E_F): 1.84 states/eV/cell
- E_form (uncorrected): 0.80 eV per formula unit

abc: 5.3009 5.3009 5.3009
angles: 125.75 125.75 80.30
Closest atoms and distances in Å follow each position.
Element x y z (fractional)
1 Pt 0.7500 0.2500 0.5000  8 Sb 3.15, 4 Tl 3.42
2 Sb 0.0000 0.0000 0.0000  4 Tl 3.15, 4 Pt 3.15, 4 Sb 3.42
3 Sb 0.5000 0.5000 0.0000  4 Tl 3.15, 4 Pt 3.15, 4 Sb 3.42
4 Tl 0.2500 0.7500 0.5000  8 Sb 3.15, 4 Pt 3.42

---

A geometry-optimized K2RbTlCl structure, computed with PBE.

Summary:
- Crystal system: tetragonal
- SG: No. 123
- V: 47.88 A^3/atom
- M_tot: 0.0 μB per cell
- D(E_F): 3.41 states/eV/cell
- E_form (uncorrected): -3.43 eV per formula unit

abc: 6.1170 6.1170 6.3981
angles: 90.00 90.00 90.00
Closest atoms and distances in Å follow each position.
Element x y z (fractional)
1 Tl 0.5000 0.5000 0.5000  4 Rb 4.33, 8 K 4.43
2 K 0.0000 0.5000 0.0000  2 Cl 3.06
3 K 0.5000 0.0000 0.0000  2 Cl 3.06
4 Rb 0.0000 0.0000 0.5000  2 Cl 3.20
5 Cl 0.0000 0.0000 0.0000  4 K 3.06, 2 Rb 3.20

---

A geometry-optimized LiCeSmFe structure, computed with PBE.

Summary:
- E_tot: -5.08 eV/atom
- Crystal system: cubic
- SG: No. 216
- V: 21.15 A^3/atom
- M_tot: 0.0 μB per cell
- D(E_F): 7.38 states/eV/cell

abc: 4.9272 4.9272 4.9272
angles: 60.00 60.00 60.00
Closest atoms and distances in Å follow each position.
Element x y z (fractional)
1 Li 0.5000 0.5000 0.5000  4 Sm 3.02, 4 Ce 3.02
2 Ce 0.7500 0.7500 0.7500  4 Fe 3.02, 4 Li 3.02
3 Sm 0.2500 0.2500 0.2500  4 Fe 3.02, 4 Li 3.02
4 Fe 0.0000 0.0000 0.0000  4 Sm 3.02, 4 Ce 3.02